Compound: ThCuH2
Source: the Alexandria database
Functional: GGA-PBE
Structure: optimized geometry

```
ThCuH2
1.0
3.9577 0.0000 0.0000
0.0000 4.2132 0.0000
-1.9873 0.0000 6.0652
Th Cu H
2 2 4
direct
0.1400 0.2500 0.2836
0.8600 0.7500 0.7164
0.4391 0.2500 0.8756
0.5609 0.7500 0.1244
0.0550 0.7500 0.1078
0.2440 0.7500 0.4883
0.7560 0.2500 0.5117
0.9450 0.2500 0.8922
```

Output
Its space group is No. 11. The value obtained for the uncorrected energy is -0.3633 Ry/atom.

=====

Compound: BaCuP
Source: the Alexandria database
Functional: GGA-PBE
Structure: optimized geometry

```
BaCuP
1.0
4.9010 0.0000 0.0000
-2.2112 5.4809 0.0000
-0.6945 -0.5892 6.1409
Ba Cu P
2 2 2
direct
0.0000 0.0000 0.0000
0.3893 0.6338 0.4537
0.1316 0.0756 0.5250
0.7233 0.2185 0.4217
0.5732 0.2505 0.7569
0.7235 0.4164 0.1133
```

Output
Its space group is No. 1. The value obtained for the energy of formation is -0.418 eV per atom.

=====

Compound: Tb5Sm2HoSc
Source: the Alexandria database
Functional: GGA-PBE
Structure: optimized geometry

```
Tb5Sm2HoSc
1.0
2.7721 -10.0437 0.0000
2.7721 10.0437 0.0000
0.0000 0.0000 10.3697
Tb Sm Ho Sc
10 4 2 2
direct
0.0161 0.9839 0.5000
0.2745 0.7255 0.8057
0.2988 0.7012 0.1883
0.3736 0.6264 0.5047
0.4833 0.5167 0.2266
0.5167 0.4833 0.7266
0.6264 0.3736 0.0047
0.7012 0.2988 0.6883
0.7255 0.2745 0.3057
0.9839 0.0161 0.0000
0.1127 0.8873 0.7976
0.1149 0.8851 0.2209
0.8851 0.1149 0.7209
0.8873 0.1127 0.2976
0.4069 0.5931 0.9438
0.5931 0.4069 0.4438
0.1948 0.8052 0.4997
0.8052 0.1948 0.9997
```

Output
Its space group is No. 36. The value obtained for the energy of formation is 0.156 eV per atom.

=====

Compound: BeVTc2
Source: the Alexandria database
Functional: GGA-PBE
Structure: optimized geometry

```
BeVTc2
1.0
-3.4812 3.4812 2.2590
3.4812 -3.4812 2.2590
3.4812 3.4812 -2.2590
Be V Tc
2 2 4
direct
0.0000 0.0000 0.0000
0.7500 0.2500 0.5000
0.2500 0.7500 0.5000
0.5000 0.5000 0.0000
0.0435 0.6250 0.9185
0.3750 0.2935 0.4185
0.7065 0.1250 0.0815
0.8750 0.9565 0.5815
```

Output
Its space group is No. 122. The value obtained for the energy of formation is 0.434 eV per atom.